Entry 1
Cu2As2Se after structural relaxation, computed with PBE-GGA. Values from VASP.

Properties
DOS(E_F): 3.8 states/eV/cell
Crystal system: tetragonal
Space group: No. 127

Structure (Quantum ESPRESSO input):
```
&SYSTEM
  ibrav = 0, nat = 10, ntyp = 3
/
ATOMIC_SPECIES
Se 78.96 Se.upf
Cu 63.55 Cu.upf
As 74.92 As.upf
CELL_PARAMETERS angstrom
-6.0140 -2.8078 -1.6389
3.2478 -5.3443 -2.7620
-0.0827 -1.8069 3.3989
ATOMIC_POSITIONS crystal
Se 0.5000 0.5000 0.0000
Se 0.0000 0.0000 0.0000
Cu 0.6340 0.1340 0.0000
Cu 0.1340 0.3660 0.0000
Cu 0.3660 0.8660 0.0000
Cu 0.8660 0.6340 0.0000
As 0.1268 0.6268 0.5000
As 0.6268 0.8732 0.5000
As 0.3732 0.1268 0.5000
As 0.8732 0.3732 0.5000
```

Entry 2
Cu2As2Se after structural relaxation, computed with PBE-GGA. Values from VASP.

Properties
DOS(E_F): 2.3 states/eV/cell
Crystal system: tetragonal
Space group: No. 139

Structure (Quantum ESPRESSO input):
```
&SYSTEM
  ibrav = 0, nat = 5, ntyp = 3
/
ATOMIC_SPECIES
Se 78.96 Se.upf
Cu 63.55 Cu.upf
As 74.92 As.upf
CELL_PARAMETERS angstrom
-3.7424 0.7637 -0.8193
-0.1602 -3.1931 -2.2448
-3.5925 -4.3488 3.0433
ATOMIC_POSITIONS crystal
Se 0.0000 0.0000 0.0000
Cu 0.3941 0.3941 0.2118
Cu 0.6059 0.6059 0.7882
As 0.2500 0.7500 0.5000
As 0.7500 0.2500 0.5000
```

What should be chosen as the least stable of them? Choose entry 2.

Entry 1
SrCuAsSe2 after structural relaxation, computed with PBE-GGA. Values from VASP.

Properties
DOS(E_F): 7.5 states/eV/cell
Crystal system: tetragonal
Space group: No. 123

Structure (Quantum ESPRESSO input):
```
&SYSTEM
  ibrav = 0, nat = 5, ntyp = 4
/
ATOMIC_SPECIES
Se 78.96 Se.upf
Sr 87.62 Sr.upf
As 74.92 As.upf
Cu 63.55 Cu.upf
CELL_PARAMETERS angstrom
-5.6304 -0.1836 -0.8944
-0.5803 -3.5940 4.3911
-0.7066 4.4363 3.5375
ATOMIC_POSITIONS crystal
Se 0.0000 0.5000 0.0000
Se 0.5000 0.0000 0.0000
Sr 0.0000 0.0000 0.0000
As 0.0000 0.0000 0.5000
Cu 0.5000 0.5000 0.5000
```

Entry 2
SrCuAsSe2 after structural relaxation, computed with PBE-GGA. Values from VASP.

Properties
DOS(E_F): 3.1 states/eV/cell
Crystal system: tetragonal
Space group: No. 123

Structure (Quantum ESPRESSO input):
```
&SYSTEM
  ibrav = 0, nat = 5, ntyp = 4
/
ATOMIC_SPECIES
Se 78.96 Se.upf
Cu 63.55 Cu.upf
As 74.92 As.upf
Sr 87.62 Sr.upf
CELL_PARAMETERS angstrom
-1.1048 4.2806 -2.6189
-4.6132 0.1891 2.2551
1.7452 2.5061 3.3601
ATOMIC_POSITIONS crystal
Se 0.0000 0.5000 0.0000
Se 0.5000 0.0000 0.0000
Cu 0.0000 0.0000 0.0000
As 0.0000 0.0000 0.5000
Sr 0.5000 0.5000 0.5000
```

What should be chosen as the least stable of them? Choose entry 1.

Entry 1
TlCuAsSe2 after structural relaxation, computed with PBE-GGA. Values from VASP.

Properties
DOS(E_F): 3.9 states/eV/cell
Crystal system: monoclinic
Space group: No. 13

Structure (Quantum ESPRESSO input):
```
&SYSTEM
  ibrav = 0, nat = 10, ntyp = 4
/
ATOMIC_SPECIES
Cu 63.55 Cu.upf
Se 78.96 Se.upf
As 74.92 As.upf
Tl 204.38 Tl.upf
CELL_PARAMETERS angstrom
5.1858 0.0000 0.0000
0.0000 7.1158 0.6508
0.0000 -1.2854 7.1182
ATOMIC_POSITIONS crystal
Cu 0.0000 0.0000 0.0000
Cu 0.0000 0.0000 0.5000
Se 0.6857 0.7735 0.9265
Se 0.6857 0.2265 0.5735
Se 0.3143 0.7735 0.4265
Se 0.3143 0.2265 0.0735
As 0.3581 0.0000 0.7500
As 0.6419 0.0000 0.2500
Tl 0.1478 0.5000 0.7500
Tl 0.8522 0.5000 0.2500
```

Entry 2
TlCuAsSe2 after structural relaxation, computed with PBE-GGA. Values from VASP.

Properties
DOS(E_F): 3.9 states/eV/cell
Crystal system: tetragonal
Space group: No. 123

Structure (Quantum ESPRESSO input):
```
&SYSTEM
  ibrav = 0, nat = 5, ntyp = 4
/
ATOMIC_SPECIES
Se 78.96 Se.upf
Tl 204.38 Tl.upf
As 74.92 As.upf
Cu 63.55 Cu.upf
CELL_PARAMETERS angstrom
5.1268 0.0000 0.0000
0.0000 5.1268 0.0000
0.0000 0.0000 4.6048
ATOMIC_POSITIONS crystal
Se 0.0000 0.5000 0.0000
Se 0.5000 0.0000 0.0000
Tl 0.5000 0.5000 0.5000
As 0.0000 0.0000 0.5000
Cu 0.0000 0.0000 0.0000
```

What should be chosen as the least stable of them? Choose entry 2.

Entry 1
VCuAsSe2 after structural relaxation, computed with PBE-GGA. Values from VASP.

Properties
DOS(E_F): 6.6 states/eV/cell
Crystal system: tetragonal
Space group: No. 123

Structure (Quantum ESPRESSO input):
```
&SYSTEM
  ibrav = 0, nat = 5, ntyp = 4
/
ATOMIC_SPECIES
Se 78.96 Se.upf
V 50.94 V.upf
As 74.92 As.upf
Cu 63.55 Cu.upf
CELL_PARAMETERS angstrom
4.8019 0.0000 0.0000
0.0000 4.8019 0.0000
0.0000 0.0000 4.5325
ATOMIC_POSITIONS crystal
Se 0.0000 0.5000 0.0000
Se 0.5000 0.0000 0.0000
V 0.5000 0.5000 0.5000
As 0.0000 0.0000 0.5000
Cu 0.0000 0.0000 0.0000
```

Entry 2
VCuAsSe2 after structural relaxation, computed with PBE-GGA. Values from VASP.

Properties
DOS(E_F): 3.5 states/eV/cell
Crystal system: tetragonal
Space group: No. 123

Structure (Quantum ESPRESSO input):
```
&SYSTEM
  ibrav = 0, nat = 5, ntyp = 4
/
ATOMIC_SPECIES
As 74.92 As.upf
Se 78.96 Se.upf
Cu 63.55 Cu.upf
V 50.94 V.upf
CELL_PARAMETERS angstrom
-3.1715 3.4636 -0.7505
-0.9801 0.1108 4.6524
3.4386 3.2886 0.6461
ATOMIC_POSITIONS crystal
As 0.0000 0.0000 0.5000
Se 0.5000 0.0000 0.0000
Se 0.0000 0.5000 0.0000
Cu 0.5000 0.5000 0.5000
V 0.0000 0.0000 0.0000
```

What should be chosen as the least stable of them? Choose entry 1.

Entry 1
CuAsWSe2 after structural relaxation, computed with PBE-GGA. Values from VASP.

Properties
DOS(E_F): 3.9 states/eV/cell
Crystal system: tetragonal
Space group: No. 123

Structure (Quantum ESPRESSO input):
```
&SYSTEM
  ibrav = 0, nat = 5, ntyp = 4
/
ATOMIC_SPECIES
Cu 63.55 Cu.upf
Se 78.96 Se.upf
W 183.84 W.upf
As 74.92 As.upf
CELL_PARAMETERS angstrom
-0.1125 2.3061 -4.2976
-2.7214 -3.5970 -1.8589
-4.1515 2.4151 1.4046
ATOMIC_POSITIONS crystal
Cu 0.5000 0.5000 0.5000
Se 0.5000 0.0000 0.0000
Se 0.0000 0.5000 0.0000
W 0.0000 0.0000 0.0000
As 0.0000 0.0000 0.5000
```

Entry 2
CuAsWSe2 after structural relaxation, computed with PBE-GGA. Values from VASP.

Properties
DOS(E_F): 3.2 states/eV/cell
Crystal system: tetragonal
Space group: No. 123

Structure (Quantum ESPRESSO input):
```
&SYSTEM
  ibrav = 0, nat = 5, ntyp = 4
/
ATOMIC_SPECIES
Se 78.96 Se.upf
Cu 63.55 Cu.upf
W 183.84 W.upf
As 74.92 As.upf
CELL_PARAMETERS angstrom
-4.1097 1.3803 -1.8046
-0.6374 -4.2806 -1.8226
-2.1378 -1.3235 3.8562
ATOMIC_POSITIONS crystal
Se 0.5000 0.0000 0.0000
Se 0.0000 0.5000 0.0000
Cu 0.0000 0.0000 0.0000
W 0.5000 0.5000 0.5000
As 0.0000 0.0000 0.5000
```

What should be chosen as the least stable of them? Choose entry 2.

Entry 1
YCuAs2Se after structural relaxation, computed with PBE-GGA. Values from VASP.

Properties
DOS(E_F): 3.3 states/eV/cell
Crystal system: tetragonal
Space group: No. 123

Structure (Quantum ESPRESSO input):
```
&SYSTEM
  ibrav = 0, nat = 5, ntyp = 4
/
ATOMIC_SPECIES
As 74.92 As.upf
Cu 63.55 Cu.upf
Se 78.96 Se.upf
Y 88.91 Y.upf
CELL_PARAMETERS angstrom
4.6872 0.0000 0.0000
0.0000 4.6872 0.0000
0.0000 0.0000 4.9522
ATOMIC_POSITIONS crystal
As 0.5000 0.0000 0.0000
As 0.0000 0.5000 0.0000
Cu 0.0000 0.0000 0.0000
Se 0.0000 0.0000 0.5000
Y 0.5000 0.5000 0.5000
```

Entry 2
YCuAs2Se after structural relaxation, computed with PBE-GGA. Values from VASP.

Properties
DOS(E_F): 5.5 states/eV/cell
Crystal system: tetragonal
Space group: No. 123

Structure (Quantum ESPRESSO input):
```
&SYSTEM
  ibrav = 0, nat = 5, ntyp = 4
/
ATOMIC_SPECIES
As 74.92 As.upf
Y 88.91 Y.upf
Cu 63.55 Cu.upf
Se 78.96 Se.upf
CELL_PARAMETERS angstrom
-0.0181 5.4365 -0.0172
-3.2765 0.0028 4.3383
4.2926 0.0245 3.2420
ATOMIC_POSITIONS crystal
As 0.5000 0.0000 0.0000
As 0.0000 0.5000 0.0000
Y 0.0000 0.0000 0.0000
Cu 0.5000 0.5000 0.5000
Se 0.0000 0.0000 0.5000
```

What should be chosen as the least stable of them? Choose entry 2.

Entry 1
ZnCuAs2Se after structural relaxation, computed with PBE-GGA. Values from VASP.

Properties
DOS(E_F): 4.6 states/eV/cell
Crystal system: tetragonal
Space group: No. 123

Structure (Quantum ESPRESSO input):
```
&SYSTEM
  ibrav = 0, nat = 5, ntyp = 4
/
ATOMIC_SPECIES
Cu 63.55 Cu.upf
As 74.92 As.upf
Zn 65.41 Zn.upf
Se 78.96 Se.upf
CELL_PARAMETERS angstrom
4.7763 0.0000 0.0000
0.0000 4.7763 0.0000
0.0000 0.0000 5.0046
ATOMIC_POSITIONS crystal
Cu 0.5000 0.5000 0.5000
As 0.5000 0.0000 0.0000
As 0.0000 0.5000 0.0000
Zn 0.0000 0.0000 0.0000
Se 0.0000 0.0000 0.5000
```

Entry 2
ZnCuAs2Se after structural relaxation, computed with PBE-GGA. Values from VASP.

Properties
DOS(E_F): 4.2 states/eV/cell
Crystal system: tetragonal
Space group: No. 123

Structure (Quantum ESPRESSO input):
```
&SYSTEM
  ibrav = 0, nat = 5, ntyp = 4
/
ATOMIC_SPECIES
Cu 63.55 Cu.upf
Se 78.96 Se.upf
As 74.92 As.upf
Zn 65.41 Zn.upf
CELL_PARAMETERS angstrom
-2.0006 -4.2260 0.2460
2.3646 -0.8899 3.9419
-3.6990 1.9053 2.6491
ATOMIC_POSITIONS crystal
Cu 0.0000 0.0000 0.0000
Se 0.0000 0.0000 0.5000
As 0.5000 0.0000 0.0000
As 0.0000 0.5000 0.0000
Zn 0.5000 0.5000 0.5000
```

What should be chosen as the least stable of them? Choose entry 1.

Entry 1
ZrCuAs2Se after structural relaxation, computed with PBE-GGA. Values from VASP.

Properties
DOS(E_F): 3.6 states/eV/cell
Crystal system: tetragonal
Space group: No. 123

Structure (Quantum ESPRESSO input):
```
&SYSTEM
  ibrav = 0, nat = 5, ntyp = 4
/
ATOMIC_SPECIES
As 74.92 As.upf
Se 78.96 Se.upf
Zr 91.22 Zr.upf
Cu 63.55 Cu.upf
CELL_PARAMETERS angstrom
-2.9780 -2.5096 -2.5044
2.1228 -3.8817 1.3655
-2.9557 -0.2810 3.7962
ATOMIC_POSITIONS crystal
As 0.5000 0.0000 0.0000
As 0.0000 0.5000 0.0000
Se 0.0000 0.0000 0.5000
Zr 0.5000 0.5000 0.5000
Cu 0.0000 0.0000 0.0000
```

Entry 2
ZrCuAs2Se after structural relaxation, computed with PBE-GGA. Values from VASP.

Properties
DOS(E_F): 5.0 states/eV/cell
Crystal system: tetragonal
Space group: No. 123

Structure (Quantum ESPRESSO input):
```
&SYSTEM
  ibrav = 0, nat = 5, ntyp = 4
/
ATOMIC_SPECIES
Cu 63.55 Cu.upf
Se 78.96 Se.upf
As 74.92 As.upf
Zr 91.22 Zr.upf
CELL_PARAMETERS angstrom
-2.5931 -1.0735 4.3825
-4.1024 -1.5435 -2.8055
1.8601 -4.8049 -0.0764
ATOMIC_POSITIONS crystal
Cu 0.5000 0.5000 0.5000
Se 0.0000 0.0000 0.5000
As 0.5000 0.0000 0.0000
As 0.0000 0.5000 0.0000
Zr 0.0000 0.0000 0.0000
```

What should be chosen as the least stable of them? Choose entry 2.